Here is a geometry-optimized Sr2ZnIn structure from Alexandria. Energies are from PBE.

The structure belongs to space group Fm-3m (No. 225); the cell edges are 8.023, 8.023 and 8.023 Å and the angles 90.00°, 90.00° and 90.00°. Symmetry generates all atoms from Sr at (0.250, 0.250, 0.250), Zn at (0.000, 0.000, 0.000) and In at (0.000, 0.000, 0.500).

Its calculated density is 4.57 g/cm³. As for the formation energy: -1.25 eV per formula unit. Its density of states at the Fermi level is 16.25 states/eV per cell.

Here is a geometry-optimized SrZn3In3 structure from Alexandria. Energies are from PBE.

The structure belongs to space group Pm-3n (No. 223); the cell edges are 7.517, 7.517 and 7.517 Å and the angles 90.00°, 90.00° and 90.00°. Symmetry generates all atoms from Sr at (0.000, 0.000, 0.000), Zn at (0.000, 0.250, 0.500) and In at (0.000, 0.500, 0.250).

Its calculated density is 4.91 g/cm³. Its offset from the most stable computed form is 4.062 kcal/mol of atoms. As for the formation energy: 0.74 eV per formula unit. Its density of states at the Fermi level is 5.54 states/eV per cell.

Here is a geometry-optimized Sr3ZnIn structure from Alexandria. Energies are from PBE.

The structure belongs to space group P2_1/c (No. 14); the cell edges are 11.013, 6.300 and 12.214 Å and the angles 90.00°, 118.29° and 90.00°. Symmetry generates all atoms from Sr at (0.030, 0.169, 0.153), Sr at (0.336, 0.639, 0.953), Sr at (0.383, 0.126, 0.151), Zn at (0.341, 0.129, 0.864) and In at (0.195, 0.661, 0.158).

Its calculated density is 3.94 g/cm³. Its offset from the most stable computed form is 1.870 kcal/mol of atoms. As for the formation energy: -0.91 eV per formula unit. Its density of states at the Fermi level is 15.54 states/eV per cell.